Record 1
DFT (PBE-GGA) results for a relaxed structure of Th6IrSe5.

Lattice parameters (Å, degrees): 7.3487 12.6668 7.3003 90.00 109.59 90.00
With the nearest neighbours (Å) after each atom.
Space group C2/m (No. 12)
Unique sites:
Th  0.2386  0.0000  0.2508 x4  1 Ir 2.92, 5 Se 3.01-3.07
Th  0.2400  0.1593  0.7385 x8  1 Ir 2.86, 5 Se 2.99-3.05
Ir  0.0000  0.0000  0.5000 x2  6 Th 2.86-2.92
Se  0.0000  0.1738  0.0000 x4  6 Th 3.01-3.05
Se  0.0000  0.3348  0.5000 x4  6 Th 2.99-3.01
Se  0.0000  0.5000  0.0000 x2  6 Th 2.99-3.07

E_form (uncorrected): -1468 meV/atom
density of states at the Fermi level: 21.5 states/eV/cell

=====

Record 2
DFT (PBE-GGA) results for a relaxed structure of TaAu2Br.

Lattice parameters (Å, degrees): 3.0168 4.7221 5.4303 90.00 90.00 90.00
With the nearest neighbours (Å) after each atom.
Space group Pmmm (No. 47)
Unique sites:
Ta  0.0000  0.0000  0.0000 x1  4 Br 2.80, 2 Ta 3.02, 4 Au 3.11
Au  0.0000  0.5000  0.5000 x1  6 Au 2.80-3.02, 4 Br 3.11
Au  0.5000  0.0000  0.5000 x1  6 Au 2.80-3.02, 4 Ta 3.11
Br  0.5000  0.5000  0.0000 x1  4 Ta 2.80, 2 Br 3.02, 4 Au 3.11

E_form (uncorrected): 513 meV/atom
density of states at the Fermi level: 3.2 states/eV/cell

=====

Record 3
DFT (PBE-GGA) results for a relaxed structure of AcMgCuRh.

Lattice parameters (Å, degrees): 4.4975 4.4975 15.4287 90.00 90.00 120.00
With the nearest neighbours (Å) after each atom.
Space group R3m (No. 160, hexagonal axes)
Unique sites:
Ac  0.0000  0.0000  0.0000 x3  4 Cu 3.07-3.32, 4 Rh 3.19-3.25
Mg  0.0000  0.0000  0.4947 x3  3 Rh 2.65, 3 Cu 2.66
Cu  0.0000  0.0000  0.1988 x3  3 Mg 2.66, 3 Rh 2.83
Rh  0.0000  0.0000  0.7933 x3  3 Mg 2.65, 3 Cu 2.83

density of states at the Fermi level: 5.0 states/eV/cell
formation energy from the elements: -0.393 eV/atom

=====

Record 4
DFT (PBE-GGA) results for a relaxed structure of GdScGe2.

Lattice parameters (Å, degrees): 4.4832 4.4832 15.4733 90.00 90.00 120.00
With the nearest neighbours (Å) after each atom.
Space group R-3m (No. 166, hexagonal axes)
Unique sites:
Gd  0.0000  0.0000  0.0000 x3  6 Ge 2.98
Sc  0.0000  0.0000  0.5000 x3  6 Ge 2.82
Ge  0.0000  0.0000  0.2385 x6  3 Sc 2.82, 3 Gd 2.98

density of states at the Fermi level: 7.6 states/eV/cell
formation energy from the elements: -0.687 eV/atom

=====

Record 5
DFT (PBE-GGA) results for a relaxed structure of K5OsO6.

Lattice parameters (Å, degrees): 6.4347 11.0583 6.2779 90.00 110.73 90.00
With the nearest neighbours (Å) after each atom.
Space group C2/m (No. 12)
Unique sites:
K  0.0000  0.0000  0.0000 x2  4 O 2.62
K  0.0000  0.1671  0.5000 x4  6 O 2.69-2.74
K  0.0000  0.3364  0.0000 x4  4 O 2.63-2.64
Os  0.0000  0.5000  0.5000 x2  6 O 1.93-1.94
O  0.1826  0.5000  0.3144 x4  1 Os 1.93
O  0.1872  0.3762  0.6939 x8  1 Os 1.94

E_form (uncorrected): -1388 meV/atom
density of states at the Fermi level: 12.9 states/eV/cell

=====

Record 6
DFT (PBE-GGA) results for a relaxed structure of In2Pt3Au2.

Lattice parameters (Å, degrees): 4.5680 4.6279 7.5612 90.08 107.31 119.44
With the nearest neighbours (Å) after each atom.
Space group P-1 (No. 2)
Unique sites:
In  0.2032  0.0948  0.3117 x2  6 Pt 2.66-2.98
Pt  0.0000  0.5000  0.5000 x1  2 Au 2.85, 6 In 2.96-3.00, 6 Pt 3.00-3.14
Pt  0.4812  0.2525  0.7100 x2  4 In 2.66-2.83, 3 Au 2.76-2.98
Au  0.2714  0.6442  0.9015 x2  5 Pt 2.76-3.02, 3 Au 2.97-3.04, 2 In 3.04-3.05

density of states at the Fermi level: 2.2 states/eV/cell
formation energy from the elements: -0.237 eV/atom

=====

Record 7
DFT (PBE-GGA) results for a relaxed structure of Ac6GeRu2.

Lattice parameters (Å, degrees): 14.6720 10.8454 8.0774 90.00 105.90 90.00
With the nearest neighbours (Å) after each atom.
Space group C2/c (No. 15)
Unique sites:
Ac  0.1305  0.0000  0.3163 x8  2 Ru 2.93-2.94
Ac  0.1326  0.3223  0.0663 x8  2 Ru 3.03-3.05, 2 Ge 3.36
Ac  0.1327  0.3218  0.5669 x8  2 Ru 3.04-3.05, 2 Ge 3.36-3.37
Ge  0.0000  0.4996  0.2500 x4  2 Ru 3.08, 8 Ac 3.36-3.37
Ru  0.2184  0.4986  0.3590 x8  6 Ac 2.93-3.05, 1 Ge 3.08

density of states at the Fermi level: 42.0 states/eV/cell
formation energy from the elements: -0.201 eV/atom

=====

Record 8
DFT (PBE-GGA) results for a relaxed structure of BeTcSb2.

Lattice parameters (Å, degrees): 3.6319 4.9567 7.9380 90.00 90.00 90.00
With the nearest neighbours (Å) after each atom.
Space group Immm (No. 71)
Unique sites:
Be  0.0000  0.0000  0.0000 x2  4 Sb 2.51
Tc  0.0000  0.0000  0.5000 x2  8 Sb 2.88-3.03, 4 Be 3.07
Sb  0.0000  0.5000  0.2812 x4  2 Be 2.51

E_form (uncorrected): 474 meV/atom
density of states at the Fermi level: 6.6 states/eV/cell

=====

Record 9
DFT (PBE-GGA) results for a relaxed structure of SrGaCu.

Lattice parameters (Å, degrees): 6.6325 6.6325 6.6325 90.00 90.00 90.00
With the nearest neighbours (Å) after each atom.
Space group P2_13 (No. 198)
Unique sites:
Sr  0.1095  0.1095  0.1095 x4  4 Cu 3.18-3.31, 4 Ga 3.44-3.47
Ga  0.0882  0.5882  0.9118 x4  3 Cu 2.40
Cu  0.1670  0.3330  0.6670 x4  3 Ga 2.40

density of states at the Fermi level: 4.6 states/eV/cell
formation energy from the elements: -0.299 eV/atom

=====

Record 10
DFT (PBE-GGA) results for a relaxed structure of Pm5Nd12Th2.

Lattice parameters (Å, degrees): 22.7240 7.1549 8.8359 90.00 110.28 90.00
With the nearest neighbours (Å) after each atom.
Space group C2/m (No. 12)
Unique sites:
Pm  0.0000  0.0000  0.0000 x2  4 Nd 3.45
Pm  0.1489  0.5000  0.5961 x4  9 Nd 3.45-3.73, 1 Pm 3.58, 2 Th 3.66
Pm  0.2487  0.0000  0.9913 x4  9 Nd 3.54-3.87, 3 Pm 3.58
Nd  0.0465  0.5000  0.2022 x4  1 Pm 3.45, 5 Nd 3.47-3.77, 2 Th 3.63
Nd  0.1066  0.2548  0.8857 x8  1 Th 3.43, 4 Pm 3.45-3.55, 5 Nd 3.50-3.77
Nd  0.1371  0.0000  0.5469 x4  2 Th 3.49, 6 Nd 3.57-3.87, 3 Pm 3.60-3.87
Nd  0.2017  0.2531  0.2936 x8  7 Nd 3.50-3.87, 4 Pm 3.56-3.73
Th  0.0000  0.2503  0.5000 x4  6 Nd 3.43-3.63, 2 Th 3.57-3.58, 2 Pm 3.66

density of states at the Fermi level: 59.7 states/eV/cell
formation energy from the elements: 0.149 eV/atom

=====

Record 11
DFT (PBE-GGA) results for a relaxed structure of Rb3Li2PbCl9.

Lattice parameters (Å, degrees): 7.4083 7.4083 9.2951 90.00 90.00 120.00
With the nearest neighbours (Å) after each atom.
Space group P-3m1 (No. 164)
Unique sites:
Rb  0.0000  0.0000  0.0000 x1  12 Cl 3.70-3.79
Rb  0.3333  0.6667  0.7000 x2  9 Cl 3.51-3.72, 1 Li 3.68
Li  0.3333  0.6667  0.0960 x2  3 Cl 2.32
Pb  0.0000  0.0000  0.5000 x1  6 Cl 2.57
Cl  0.0000  0.5000  0.0000 x3  2 Li 2.32
Cl  0.1634  0.3268  0.3401 x6  1 Pb 2.57

E_form (uncorrected): -1493 meV/atom

=====

Record 12
DFT (PBE-GGA) results for a relaxed structure of Sn6I5Br7.

Lattice parameters (Å, degrees): 13.6556 9.9794 10.7147 90.00 90.00 90.00
With the nearest neighbours (Å) after each atom.
Space group Amm2 (No. 38)
Unique sites:
Sn  0.0000  0.0000  0.0000 x2  5 Br 2.99-3.01, 1 I 3.29
Sn  0.1600  0.0000  0.5209 x4  3 Br 3.01-3.06, 3 I 3.16-3.21
Sn  0.3326  0.0000  0.0211 x4  4 Br 3.02, 2 I 3.16-3.20
Sn  0.5000  0.0000  0.5234 x2  2 Br 3.02, 4 I 3.16-3.19
I  0.0000  0.0000  0.3070 x2  3 Sn 3.17-3.29
I  0.3290  0.0000  0.3202 x4  3 Sn 3.16-3.20
I  0.3315  0.0000  0.7261 x4  3 Sn 3.16-3.21
Br  0.0000  0.0000  0.7208 x2  3 Sn 2.99-3.06
Br  0.1655  0.1986  0.0148 x8  3 Sn 3.01-3.02
Br  0.5000  0.1974  0.0219 x4  3 Sn 3.02

E_form (uncorrected): -628 meV/atom
density of states at the Fermi level: 0.0 states/eV/cell

=====

What did the ninth record say?
DFT (PBE-GGA) results for a relaxed structure of SrGaCu.

Lattice parameters (Å, degrees): 6.6325 6.6325 6.6325 90.00 90.00 90.00
With the nearest neighbours (Å) after each atom.
Space group P2_13 (No. 198)
Unique sites:
Sr  0.1095  0.1095  0.1095 x4  4 Cu 3.18-3.31, 4 Ga 3.44-3.47
Ga  0.0882  0.5882  0.9118 x4  3 Cu 2.40
Cu  0.1670  0.3330  0.6670 x4  3 Ga 2.40

density of states at the Fermi level: 4.6 states/eV/cell
formation energy from the elements: -0.299 eV/atom

=====

Repeat the sixth record exactly.
DFT (PBE-GGA) results for a relaxed structure of In2Pt3Au2.

Lattice parameters (Å, degrees): 4.5680 4.6279 7.5612 90.08 107.31 119.44
With the nearest neighbours (Å) after each atom.
Space group P-1 (No. 2)
Unique sites:
In  0.2032  0.0948  0.3117 x2  6 Pt 2.66-2.98
Pt  0.0000  0.5000  0.5000 x1  2 Au 2.85, 6 In 2.96-3.00, 6 Pt 3.00-3.14
Pt  0.4812  0.2525  0.7100 x2  4 In 2.66-2.83, 3 Au 2.76-2.98
Au  0.2714  0.6442  0.9015 x2  5 Pt 2.76-3.02, 3 Au 2.97-3.04, 2 In 3.04-3.05

density of states at the Fermi level: 2.2 states/eV/cell
formation energy from the elements: -0.237 eV/atom